# TmTlHgPb, optimized geometry, DFT PBE-GGA
data_TmTlHgPb
_cell_length_a 4.607
_cell_length_b 4.697
_cell_length_c 4.839
_cell_angle_alpha 90.00
_cell_angle_beta 90.00
_cell_angle_gamma 90.00
_symmetry_space_group_name_H-M 'P m m m'
_symmetry_Int_Tables_number 47
loop_
_symmetry_equiv_pos_as_xyz
'x,y,z'
'-x,-y,-z'
'-x,-y,z'
'x,y,-z'
'x,-y,-z'
'-x,y,z'
'-x,y,-z'
'x,-y,z'
loop_
_atom_site_label
_atom_site_fract_x
_atom_site_fract_y
_atom_site_fract_z
Tm1 0.000 0.000 0.000
Tl1 0.500 0.000 0.500
Hg1 0.000 0.500 0.500
Pb1 0.500 0.500 0.000
# crystal system = orthorhombic
# formation enthalpy at 0 K = -0.248 eV per atom
# total energy = -11.84 eV per cell